## Sr2CrCl (GGA-PBE)

Data for crystalline Sr2CrCl at its relaxed geometry.

Cell: 7.613 7.613 7.613 Å, 145.49 145.49 49.60°
Site moments in Bohr magnetons follow the coordinates.
Positions (direct):
1 Sr 0.000 0.000 0.000  -0.01
2 Sr 0.250 0.750 0.500  0.06
3 Cr 0.750 0.250 0.500  4.07
4 Cl 0.500 0.500 0.000  0.02

Values from the calculation:
Space-group type: I-4m2
ΔE to the lowest computed polymorph (eV per formula unit): 0.96
E_tot (eV per atom): -3.8878

=====

## Tl2TeAs (GGA-PBE)

Data for crystalline Tl2TeAs at its relaxed geometry.

Cell: 6.748 6.748 8.296 Å, 66.00 66.00 90.00°
Positions (direct):
1 As 0.500 0.500 0.000
2 As 0.250 0.750 0.500
3 Tl 0.375 0.410 0.750
4 Tl 0.590 0.125 0.250
5 Tl 0.160 0.625 0.250
6 Tl 0.875 0.840 0.750
7 Te 0.000 0.000 0.000
8 Te 0.750 0.250 0.500

Values from the calculation:
Space-group type: I-42d
ΔE to the lowest computed polymorph (eV per formula unit): 0.07
E_tot (eV per atom): -3.1062

=====

## KZnFe2 (GGA-PBE)

Data for crystalline KZnFe2 at its relaxed geometry.

Cell: 6.032 6.032 6.032 Å, 154.78 128.90 57.81°
Site moments in Bohr magnetons follow the coordinates.
Positions (direct):
1 Fe 0.464 0.464 0.000  2.75
2 Fe 0.036 0.036 0.000  2.75
3 K 0.750 0.250 0.500  -0.04
4 Zn 0.250 0.750 0.500  -0.09

Values from the calculation:
Space-group type: Immm
E_tot (eV per atom): -4.0078
DFT formation energy (eV/f.u.): 3.27

=====

## DyCu12Ge4 (GGA-PBE)

Data for crystalline DyCu12Ge4 at its relaxed geometry.

Cell: 7.153 7.153 7.153 Å, 109.47 109.47 109.47°
Positions (direct):
1 Cu 0.645 0.794 0.149
2 Cu 0.149 0.355 0.504
3 Cu 0.355 0.206 0.851
4 Cu 0.504 0.149 0.355
5 Cu 0.645 0.496 0.851
6 Cu 0.149 0.645 0.794
7 Cu 0.355 0.504 0.149
8 Cu 0.851 0.645 0.496
9 Cu 0.794 0.149 0.645
10 Cu 0.851 0.355 0.206
11 Cu 0.496 0.851 0.645
12 Cu 0.206 0.851 0.355
13 Ge 0.000 0.500 0.000
14 Ge 0.000 0.000 0.500
15 Ge 0.500 0.500 0.500
16 Ge 0.500 0.000 0.000
17 Dy 0.000 0.000 0.000

Values from the calculation:
Space-group type: Im-3
E_tot (eV per atom): -3.9413
DFT formation energy (eV/f.u.): 5.22

=====

## La12NdSm7 (GGA-PBE)

Data for crystalline La12NdSm7 at its relaxed geometry.

Cell: 6.424 11.601 11.601 Å, 116.67 100.64 100.64°
Positions (direct):
1 Sm 0.631 0.748 0.748
2 Sm 0.117 0.999 0.748
3 Sm 0.883 0.252 0.999
4 Sm 0.883 0.001 0.252
5 Sm 0.369 0.252 0.252
6 Sm 0.117 0.748 0.001
7 Sm 0.500 0.000 0.000
8 La 0.431 0.001 0.357
9 La 0.569 0.644 0.001
10 La 0.093 0.592 0.185
11 La 0.569 0.999 0.643
12 La 0.499 0.407 0.592
13 La 0.908 0.815 0.407
14 La 0.074 0.643 0.644
15 La 0.092 0.185 0.593
16 La 0.431 0.356 0.999
17 La 0.501 0.593 0.408
18 La 0.907 0.408 0.815
19 La 0.926 0.357 0.356
20 Nd 0.000 0.000 0.000

Values from the calculation:
Space-group type: R-3
ΔE to the lowest computed polymorph (eV per formula unit): 0.12
E_tot (eV per atom): -4.6585
DFT formation energy (eV/f.u.): 3.76

=====

## AcBeSi2Os2 (GGA-PBE)

Data for crystalline AcBeSi2Os2 at its relaxed geometry.

Cell: 4.306 4.306 5.548 Å, 90.00 90.00 90.00°
Positions (direct):
1 Os 0.500 0.000 0.000
2 Os 0.000 0.500 0.000
3 Be 0.000 0.000 0.000
4 Ac 0.000 0.000 0.500
5 Si 0.500 0.500 0.250
6 Si 0.500 0.500 0.750

Values from the calculation:
Space-group type: P4/mmm
E_tot (eV per atom): -7.2429